Entry 1:
A plane-wave DFT calculation with GGA-PBEsol was carried out for a geometry-optimized K2Mg2Mo3O12 structure.

POSCAR file:
```
K2Mg2Mo3O12
1.0
10.757 0.000 0.000
0.000 10.757 0.000
0.000 0.000 10.757
K Mg Mo O
8 8 12 48
Cartesian
0.631 0.631 0.631
4.748 10.126 6.010
10.126 6.010 4.748
6.010 4.748 10.126
8.875 8.875 8.875
7.261 1.882 3.496
1.882 3.496 7.261
3.496 7.261 1.882
3.645 3.645 3.645
1.734 7.113 9.023
7.113 9.023 1.734
9.023 1.734 7.113
6.612 6.612 6.612
9.524 4.146 1.233
4.146 1.233 9.524
1.233 9.524 4.146
0.307 2.160 4.093
5.072 8.597 9.471
10.451 7.539 1.286
4.093 0.307 2.160
5.685 3.218 6.665
9.471 5.072 8.597
1.286 10.451 7.539
6.665 5.685 3.218
2.160 4.093 0.307
7.539 1.286 10.451
3.218 6.665 5.685
8.597 9.471 5.072
0.228 0.492 3.497
5.151 10.266 8.876
10.530 5.870 1.882
3.497 0.228 0.492
5.607 4.887 7.261
8.876 5.151 10.266
1.882 10.530 5.870
7.261 5.607 4.887
0.492 3.497 0.228
5.870 1.882 10.530
4.887 7.261 5.607
10.266 8.876 5.151
2.995 5.081 4.951
2.384 5.676 10.330
7.763 10.460 0.427
4.951 2.995 5.081
8.373 0.297 5.806
10.330 2.384 5.676
0.427 7.763 10.460
5.806 8.373 0.297
5.081 4.951 2.995
10.460 0.427 7.763
0.297 5.806 8.373
5.676 10.330 2.384
0.590 8.558 2.416
4.789 2.199 7.794
10.168 3.180 2.963
2.416 0.590 8.558
5.968 7.578 8.342
7.794 4.789 2.199
2.963 10.168 3.180
8.342 5.968 7.578
8.558 2.416 0.590
3.180 2.963 10.168
7.578 8.342 5.968
2.199 7.794 4.789
1.973 2.663 4.264
3.405 8.094 9.642
8.784 8.042 1.115
4.264 1.973 2.663
7.352 2.716 6.494
9.642 3.405 8.094
1.115 8.784 8.042
6.494 7.352 2.716
2.663 4.264 1.973
8.042 1.115 8.784
2.716 6.494 7.352
8.094 9.642 3.405
```

Summary:
E_form (uncorrected)   -2.240 eV/atom
Symmetry   P2_13 (198)

Entry 2:
A plane-wave DFT calculation with GGA-PBEsol was carried out for a geometry-optimized ZrTeP2 structure.

POSCAR file:
```
ZrTeP2
1.0
3.361 0.000 0.000
0.000 4.670 0.000
0.000 0.000 4.670
P Te Zr
2 1 1
Cartesian
0.000 0.000 2.335
0.000 2.335 0.000
1.680 2.335 2.335
1.680 0.000 0.000
```

Summary:
E_form (uncorrected)   -0.140 eV/atom
Symmetry   P4/mmm (123)

Entry 3:
A plane-wave DFT calculation with GGA-PBEsol was carried out for a geometry-optimized LiSi2Tc structure.

POSCAR file:
```
LiSi2Tc
1.0
-0.371 1.689 4.237
1.221 -4.059 1.725
7.023 3.338 -3.188
Si Tc Li
4 2 2
Cartesian
2.738 -2.323 1.702
2.208 -0.660 -0.080
6.422 -1.278 -0.165
5.972 0.448 1.580
4.335 -0.953 0.759
0.000 0.000 0.000
3.539 1.921 2.015
0.425 -1.185 2.981
```

Summary:
E_form (uncorrected)   0.431 eV/atom
Symmetry   I-42d (122)

Entry 4:
A plane-wave DFT calculation with GGA-PBEsol was carried out for a geometry-optimized ZnAgBr2 structure.

POSCAR file:
```
ZnAgBr2
1.0
3.745 0.000 0.000
-1.873 3.164 0.000
0.000 0.000 8.374
Ag Br Zn
1 2 1
Cartesian
1.873 0.000 6.093
0.000 0.000 7.854
1.873 0.000 2.688
0.000 0.000 4.300
```

Summary:
E_form (uncorrected)   -0.142 eV/atom
Symmetry   Cmm2 (35)

Entry 5:
A plane-wave DFT calculation with GGA-PBEsol was carried out for a geometry-optimized CeHg3 structure.

POSCAR file:
```
CeHg3
1.0
4.930 0.000 0.000
0.000 6.679 0.000
0.000 -3.339 5.784
Hg Ce
6 2
Cartesian
1.232 1.637 0.945
1.232 5.042 0.945
1.232 3.339 3.894
3.697 1.703 4.839
3.697 -1.703 4.839
3.697 0.000 1.890
3.697 3.339 1.928
1.232 0.000 3.856
```

Summary:
E_form   -0.361 eV per atom
Symmetry   P6_3/mmc (194)

Entry 6:
A plane-wave DFT calculation with GGA-PBEsol was carried out for a geometry-optimized MgCoPb2 structure.

POSCAR file:
```
MgCoPb2
1.0
-3.031 1.243 1.767
-2.425 -0.107 -4.084
-1.307 -4.455 0.892
Co Mg Pb
1 1 2
Cartesian
-2.728 0.568 -1.159
-2.169 -1.606 1.330
0.000 0.000 0.000
-1.866 -2.281 -1.596
```

Summary:
E_form   0.383 eV per atom
Symmetry   Pmmm (47)

Entry 7:
A plane-wave DFT calculation with GGA-PBEsol was carried out for a geometry-optimized Y2AlHg structure.

POSCAR file:
```
Y2AlHg
1.0
3.780 0.000 -0.323
0.000 4.518 0.000
-1.399 0.000 5.861
Y Hg Al
2 1 1
Cartesian
-1.200 0.000 5.429
2.286 2.259 1.659
0.614 2.259 4.387
0.471 0.000 2.692
```

Summary:
E_form   -0.493 eV per atom
Symmetry   Amm2 (38)

Entry 8:
A plane-wave DFT calculation with GGA-PBEsol was carried out for a geometry-optimized MnSi2Cl structure.

POSCAR file:
```
MnSi2Cl
1.0
2.809 0.000 0.000
0.000 4.526 0.000
0.000 0.000 4.783
Cl Mn Si
1 1 2
Cartesian
1.404 0.000 2.392
0.000 2.263 2.392
0.000 0.000 0.000
1.404 2.263 0.000
```

Summary:
E_form (uncorrected)   0.360 eV/atom
Symmetry   Pmmm (47)

Entry 9:
A plane-wave DFT calculation with GGA-PBEsol was carried out for a geometry-optimized ZnCuIr2 structure.

POSCAR file:
```
ZnCuIr2
1.0
-2.158 2.278 2.167
1.525 -1.540 3.138
2.952 2.163 -2.690
Cu Ir Zn
1 2 1
Cartesian
0.000 0.000 0.000
0.238 2.405 1.064
2.080 0.496 1.550
-0.317 0.369 2.652
```

Summary:
E_form   0.137 eV per atom
Symmetry   I4/mmm (139)

Entry 10:
A plane-wave DFT calculation with GGA-PBEsol was carried out for a geometry-optimized ScBe2Au structure.

POSCAR file:
```
ScBe2Au
1.0
3.900 0.000 0.000
1.950 3.378 0.000
1.950 1.126 4.350
Sc Be Au
1 2 1
Cartesian
0.000 0.000 0.000
5.850 3.378 2.672
1.950 1.126 1.679
3.900 2.252 2.175
```

Summary:
E_form   -0.312 eV per atom
Symmetry   R-3m (166)

Entry 11:
A plane-wave DFT calculation with GGA-PBEsol was carried out for a geometry-optimized ScRu2Pb structure.

POSCAR file:
```
ScRu2Pb
1.0
3.301 0.000 0.000
0.000 4.475 0.000
0.000 0.000 4.475
Pb Ru Sc
1 2 1
Cartesian
1.650 0.000 0.000
0.000 0.000 2.237
0.000 2.237 0.000
1.650 2.237 2.237
```

Summary:
E_form   -0.153 eV per atom
Symmetry   P4/mmm (123)

Entry 12:
A plane-wave DFT calculation with GGA-PBEsol was carried out for a geometry-optimized Hg3Te2Cl2 structure.

POSCAR file:
```
Hg3Te2Cl2
1.0
-6.866 -0.597 -4.140
-0.174 -5.083 6.226
0.852 7.522 2.706
Cl Hg Te
4 6 4
Cartesian
-3.695 -0.322 -2.228
-3.100 0.726 2.634
-6.377 -1.990 3.255
-0.054 -2.254 3.216
-0.243 1.085 2.134
-2.938 -2.706 3.374
-4.474 3.094 3.657
-1.374 -0.033 5.600
-4.993 4.804 -0.933
-4.540 -0.719 0.541
-0.493 -0.043 -0.298
-3.019 3.097 -0.270
-2.223 4.550 3.404
0.400 1.760 4.660
```

Summary:
E_form (uncorrected)   -0.373 eV/atom
Symmetry   I2_13 (199)